1.
# TbCuSi2Pt (GGA-PBE, optimized geometry)
data_TbCuSi2Pt
_chemical_formula_sum 'Tb2 Cu2 Si4 Pt2'
_cell_length_a 4.0552
_cell_length_b 4.0552
_cell_length_c 10.1190
_cell_angle_alpha 90.00
_cell_angle_beta 90.00
_cell_angle_gamma 90.00
_symmetry_space_group_name_H-M 'I -4 m 2'
_symmetry_Int_Tables_number 119
_symmetry_space_group_name_Hall 'I -4 -2'
loop_
_atom_site_label
_atom_site_type_symbol
_atom_site_fract_x
_atom_site_fract_y
_atom_site_fract_z
_atom_site_occupancy
Tb1 Tb 0.0000 0.0000 0.0000 1
Cu1 Cu 0.0000 0.5000 0.2500 1
Si1 Si 0.0000 0.0000 0.3843 1
Pt1 Pt 0.0000 0.5000 0.7500 1
# Formation energy without anion corrections: -0.8557 eV per atom

***

2.
# LaEr2CdAu4 (GGA-PBE, optimized geometry)
data_LaEr2CdAu4
_chemical_formula_sum 'La3 Er6 Cd3 Au12'
_cell_length_a 4.9873
_cell_length_b 4.9873
_cell_length_c 26.1192
_cell_angle_alpha 90.00
_cell_angle_beta 90.00
_cell_angle_gamma 120.00
_symmetry_space_group_name_H-M 'R -3 m'
_symmetry_Int_Tables_number 166
_symmetry_space_group_name_Hall '-R 3 2"'
loop_
_atom_site_label
_atom_site_type_symbol
_atom_site_fract_x
_atom_site_fract_y
_atom_site_fract_z
_atom_site_occupancy
La1 La 0.0000 0.0000 0.0000 1
Er1 Er 0.0000 0.0000 0.2364 1
Cd1 Cd 0.0000 0.0000 0.5000 1
Au1 Au 0.0000 0.0000 0.1199 1
Au2 Au 0.0000 0.0000 0.3876 1
# DFT formation energy: -728.2 meV/atom